# CdPtW2

Crystalline CdPtW2 at its relaxed geometry (PBE, OQMD via LeMat-Bulk).

a b c (Å): 4.565 4.565 4.565
angles (deg): 60.00 60.00 60.00
Element x y z (fractional)
Cd: 0.000 0.000 0.000
Pt: 0.750 0.750 0.750
W: 0.250 0.250 0.250
W: 0.500 0.500 0.500

Calculated values
Calculated total energy (eV/cell): -31.20
Mass density (g/cm3): 16.7
ΔE_f (eV/atom): 0.418